No. 1
DFT (PBE-GGA) results for an optimized crystal structure of Ta4Ni2C.

a b c (Å): 8.261 8.261 8.261
angles (deg): 60.00 60.00 60.00
Sites, in units of the cell vectors:
Ta1 0.000 0.000 0.000
Ta2 0.000 0.000 0.500
Ta3 0.000 0.500 0.000
Ta4 0.192 0.192 0.558
Ta5 0.192 0.558 0.192
Ta6 0.192 0.558 0.558
Ta7 0.442 0.442 0.808
Ta8 0.442 0.808 0.442
Ta9 0.442 0.808 0.808
Ta10 0.500 0.000 0.000
Ta11 0.558 0.192 0.192
Ta12 0.558 0.192 0.558
Ta13 0.558 0.558 0.192
Ta14 0.808 0.442 0.442
Ta15 0.808 0.442 0.808
Ta16 0.808 0.808 0.442
Ni1 0.117 0.794 0.794
Ni2 0.206 0.206 0.206
Ni3 0.206 0.206 0.883
Ni4 0.206 0.883 0.206
Ni5 0.794 0.117 0.794
Ni6 0.794 0.794 0.117
Ni7 0.794 0.794 0.794
Ni8 0.883 0.206 0.206
C1 0.000 0.500 0.500
C2 0.500 0.000 0.500
C3 0.500 0.500 0.000
C4 0.500 0.500 0.500

* calculated volume: 398.7 Å³ per cell
* calculated formation energy: -291 kJ/mol of formula units

No. 2
DFT (PBE-GGA) results for an optimized crystal structure of Ta2NiC.

a b c (Å): 5.248 5.248 5.248
angles (deg): 107.13 107.13 114.26
Sites, in units of the cell vectors:
Ta1 0.080 0.625 0.955
Ta2 0.375 0.330 0.455
Ta3 0.670 0.125 0.045
Ta4 0.875 0.920 0.545
Ni1 0.250 0.750 0.500
Ni2 0.500 0.500 0.000
C1 0.000 0.000 0.000
C2 0.750 0.250 0.500

* calculated volume: 110.7 Å³ per cell
* calculated formation energy: 59 kJ/mol of formula units

No. 3
DFT (PBE-GGA) results for an optimized crystal structure of Ta3NiC.

a b c (Å): 5.504 5.504 8.429
angles (deg): 90.00 90.00 146.18
Sites, in units of the cell vectors:
Ta1 0.057 0.943 0.750
Ta2 0.367 0.633 0.555
Ta3 0.367 0.633 0.945
Ta4 0.633 0.367 0.055
Ta5 0.633 0.367 0.445
Ta6 0.943 0.057 0.250
Ni1 0.254 0.746 0.250
Ni2 0.746 0.254 0.750
C1 0.000 0.000 0.000
C2 0.000 0.000 0.500

* calculated volume: 142.1 Å³ per cell
* calculated formation energy: -206 kJ/mol of formula units
* offset from the most stable computed form: 0 meV per atom

No. 4
DFT (PBE-GGA) results for an optimized crystal structure of Ta4NiC2.

a b c (Å): 5.502 5.502 11.163
angles (deg): 90.00 90.00 146.13
Sites, in units of the cell vectors:
Ta1 0.000 0.000 0.000
Ta2 0.000 0.000 0.500
Ta3 0.266 0.734 0.610
Ta4 0.266 0.734 0.890
Ta5 0.427 0.573 0.250
Ta6 0.573 0.427 0.750
Ta7 0.734 0.266 0.110
Ta8 0.734 0.266 0.390
Ni1 0.111 0.889 0.250
Ni2 0.889 0.111 0.750
C1 0.365 0.635 0.063
C2 0.365 0.635 0.437
C3 0.635 0.365 0.563
C4 0.635 0.365 0.937

* calculated volume: 188.3 Å³ per cell
* calculated formation energy: -351 kJ/mol of formula units

No. 5
DFT (PBE-GGA) results for an optimized crystal structure of TaNi2C.

a b c (Å): 5.096 5.096 5.096
angles (deg): 101.02 101.02 128.15
Sites, in units of the cell vectors:
Ta1 0.000 0.000 0.000
Ta2 0.750 0.250 0.500
Ni1 0.226 0.625 0.101
Ni2 0.375 0.476 0.601
Ni3 0.524 0.125 0.899
Ni4 0.875 0.774 0.399
C1 0.250 0.750 0.500
C2 0.500 0.500 0.000

* calculated volume: 93.6 Å³ per cell
* calculated formation energy: 67 kJ/mol of formula units

No. 6
DFT (PBE-GGA) results for an optimized crystal structure of TaNi2TeC.

a b c (Å): 4.429 4.429 5.232
angles (deg): 90.00 90.00 90.00
Sites, in units of the cell vectors:
Ta1 0.000 0.000 0.000
Ni1 0.000 0.500 0.500
Ni2 0.500 0.000 0.500
Te1 0.000 0.000 0.500
C1 0.500 0.500 0.000

* raw formation energy: 2.25 eV/atom
* calculated volume: 102.6 Å³ per cell

No. 7
DFT (PBE-GGA) results for an optimized crystal structure of TaTi2NiC.

a b c (Å): 4.097 4.097 4.247
angles (deg): 90.00 90.00 90.00
Sites, in units of the cell vectors:
Ta1 0.000 0.000 0.000
Ti1 0.000 0.500 0.500
Ti2 0.500 0.000 0.500
Ni1 0.500 0.500 0.000
C1 0.000 0.000 0.500

* calculated volume: 71.3 Å³ per cell
* calculated formation energy: -154 kJ/mol of formula units

No. 8
DFT (PBE-GGA) results for an optimized crystal structure of TaTi3Ni2C.

a b c (Å): 6.708 6.708 6.708
angles (deg): 144.37 143.46 51.95
Sites, in units of the cell vectors:
Ta1 0.000 0.000 0.000
Ti1 0.318 0.818 0.500
Ti2 0.500 0.500 0.000
Ti3 0.682 0.182 0.500
Ni1 0.130 0.630 0.500
Ni2 0.870 0.370 0.500
C1 0.500 0.000 0.500

* calculated volume: 104.1 Å³ per cell
* calculated formation energy: -159 kJ/mol of formula units

No. 9
DFT (PBE-GGA) results for an optimized crystal structure of TaV2NiC.

a b c (Å): 3.905 3.905 4.270
angles (deg): 90.00 90.00 90.00
Sites, in units of the cell vectors:
Ta1 0.000 0.000 0.000
V1 0.000 0.500 0.500
V2 0.500 0.000 0.500
Ni1 0.500 0.500 0.000
C1 0.000 0.000 0.500

* calculated volume: 65.1 Å³ per cell
* calculated formation energy: -87 kJ/mol of formula units

No. 10
DFT (PBE-GGA) results for an optimized crystal structure of Tb2Ni6C.

a b c (Å): 5.537 5.537 4.635
angles (deg): 90.00 90.00 120.00
Sites, in units of the cell vectors:
Tb1 0.333 0.667 0.267
Tb2 0.667 0.333 0.733
Ni1 0.155 0.310 0.762
Ni2 0.155 0.845 0.762
Ni3 0.310 0.155 0.238
Ni4 0.690 0.845 0.762
Ni5 0.845 0.155 0.238
Ni6 0.845 0.690 0.238
C1 0.000 0.000 0.500

* calculated volume: 123.1 Å³ per cell
* calculated formation energy: -200 kJ/mol of formula units

No. 11
DFT (PBE-GGA) results for an optimized crystal structure of Tb4Ni13C4.

a b c (Å): 8.395 8.395 3.867
angles (deg): 90.00 90.00 91.23
Sites, in units of the cell vectors:
Tb1 0.188 0.812 0.000
Tb2 0.348 0.348 0.000
Tb3 0.652 0.652 0.000
Tb4 0.812 0.188 0.000
Ni1 0.000 0.000 0.500
Ni2 0.000 0.500 0.000
Ni3 0.074 0.291 0.500
Ni4 0.122 0.122 0.000
Ni5 0.216 0.569 0.500
Ni6 0.291 0.074 0.500
Ni7 0.431 0.784 0.500
Ni8 0.500 0.000 0.000
Ni9 0.569 0.216 0.500
Ni10 0.709 0.926 0.500
Ni11 0.784 0.431 0.500
Ni12 0.878 0.878 0.000
Ni13 0.926 0.709 0.500
C1 0.000 0.500 0.500
C2 0.443 0.557 0.500
C3 0.500 0.000 0.500
C4 0.557 0.443 0.500

* calculated volume: 272.5 Å³ per cell
* calculated formation energy: -688 kJ/mol of formula units

No. 12
DFT (PBE-GGA) results for an optimized crystal structure of TbNi7C2.

a b c (Å): 5.993 5.993 3.852
angles (deg): 90.00 90.00 118.40
Sites, in units of the cell vectors:
Tb1 0.000 0.000 0.000
Ni1 0.052 0.340 0.500
Ni2 0.282 0.718 0.000
Ni3 0.340 0.052 0.500
Ni4 0.500 0.500 0.500
Ni5 0.660 0.948 0.500
Ni6 0.718 0.282 0.000
Ni7 0.948 0.660 0.500
C1 0.309 0.691 0.500
C2 0.691 0.309 0.500

* calculated volume: 121.7 Å³ per cell
* calculated formation energy: 84 kJ/mol of formula units

No. 13
DFT (PBE-GGA) results for an optimized crystal structure of Tb2Ni4C.

a b c (Å): 7.961 7.961 7.961
angles (deg): 152.23 152.23 39.68
Sites, in units of the cell vectors:
Tb1 0.165 0.165 0.000
Tb2 0.835 0.835 0.000
Ni1 0.000 0.500 0.500
Ni2 0.374 0.374 0.000
Ni3 0.500 0.000 0.500
Ni4 0.626 0.626 0.000
C1 0.500 0.500 0.000

* calculated volume: 109.4 Å³ per cell
* calculated formation energy: -169 kJ/mol of formula units

No. 14
DFT (PBE-GGA) results for an optimized crystal structure of Tb2NiC4.

a b c (Å): 6.649 6.649 6.649
angles (deg): 111.94 85.40 134.96
Sites, in units of the cell vectors:
Tb1 0.143 0.166 0.310
Tb2 0.357 0.666 0.023
Tb3 0.643 0.334 0.977
Tb4 0.857 0.834 0.690
Ni1 0.250 0.750 0.500
Ni2 0.750 0.250 0.500
C1 0.084 0.673 0.757
C2 0.126 0.845 0.971
C3 0.374 0.345 0.719
C4 0.416 0.173 0.588
C5 0.584 0.827 0.412
C6 0.626 0.655 0.281
C7 0.874 0.155 0.029
C8 0.916 0.327 0.243

* calculated volume: 185.2 Å³ per cell
* calculated formation energy: -167 kJ/mol of formula units

No. 15
DFT (PBE-GGA) results for an optimized crystal structure of TbNi2C.

a b c (Å): 5.309 5.309 5.309
angles (deg): 39.07 39.07 39.07
Sites, in units of the cell vectors:
Tb1 0.000 0.000 0.000
Ni1 0.203 0.203 0.203
Ni2 0.797 0.797 0.797
C1 0.500 0.500 0.500

* calculated volume: 53.5 Å³ per cell
* calculated formation energy: 63 kJ/mol of formula units

No. 16
DFT (PBE-GGA) results for an optimized crystal structure of TbNi6C.

a b c (Å): 5.311 5.311 5.311
angles (deg): 58.25 58.25 58.25
Sites, in units of the cell vectors:
Tb1 0.000 0.000 0.000
Ni1 0.072 0.599 0.599
Ni2 0.401 0.401 0.928
Ni3 0.401 0.928 0.401
Ni4 0.599 0.072 0.599
Ni5 0.599 0.599 0.072
Ni6 0.928 0.401 0.401
C1 0.500 0.500 0.500

* calculated volume: 101.7 Å³ per cell
* calculated formation energy: -74 kJ/mol of formula units

No. 17
DFT (PBE-GGA) results for an optimized crystal structure of TcNi3C.

a b c (Å): 3.800 3.800 3.800
angles (deg): 90.00 90.00 90.00
Sites, in units of the cell vectors:
Tc1 0.000 0.000 0.000
Ni1 0.000 0.500 0.500
Ni2 0.500 0.000 0.500
Ni3 0.500 0.500 0.000
C1 0.500 0.500 0.500

* calculated volume: 54.9 Å³ per cell
* calculated formation energy: 225 kJ/mol of formula units
* offset from the most stable computed form: 0 meV per atom

No. 18
DFT (PBE-GGA) results for an optimized crystal structure of Tc4NiC.

a b c (Å): 5.347 5.399 5.626
angles (deg): 90.00 101.14 90.00
Sites, in units of the cell vectors:
Tc1 0.103 0.144 0.180
Tc2 0.103 0.356 0.680
Tc3 0.353 0.621 0.093
Tc4 0.353 0.879 0.593
Tc5 0.647 0.121 0.407
Tc6 0.647 0.379 0.907
Tc7 0.897 0.644 0.320
Tc8 0.897 0.856 0.820
Ni1 0.500 0.000 0.000
Ni2 0.500 0.500 0.500
C1 0.000 0.000 0.500
C2 0.000 0.500 0.000

* calculated volume: 159.3 Å³ per cell
* calculated formation energy: 233 kJ/mol of formula units

No. 19
DFT (PBE-GGA) results for an optimized crystal structure of TcNiC3.

a b c (Å): 3.675 3.675 3.675
angles (deg): 90.00 90.00 90.00
Sites, in units of the cell vectors:
Tc1 0.000 0.000 0.000
Ni1 0.500 0.500 0.500
C1 0.000 0.500 0.500
C2 0.500 0.000 0.500
C3 0.500 0.500 0.000

* calculated volume: 49.6 Å³ per cell
* calculated formation energy: 1131 kJ/mol of formula units
* offset from the most stable computed form: 229 meV per atom

No. 20
DFT (PBE-GGA) results for an optimized crystal structure of TcNi2C2.

a b c (Å): 5.751 5.751 2.855
angles (deg): 90.00 90.00 90.00
Sites, in units of the cell vectors:
Tc1 0.000 0.000 0.000
Tc2 0.500 0.500 0.000
Ni1 0.149 0.351 0.500
Ni2 0.351 0.851 0.500
Ni3 0.649 0.149 0.500
Ni4 0.851 0.649 0.500
C1 0.169 0.669 0.000
C2 0.331 0.169 0.000
C3 0.669 0.831 0.000
C4 0.831 0.331 0.000

* calculated volume: 94.4 Å³ per cell
* calculated formation energy: 354 kJ/mol of formula units
* offset from the most stable computed form: 42 meV per atom

No. 21
DFT (PBE-GGA) results for an optimized crystal structure of Tc6NiC.

a b c (Å): 5.320 5.333 5.415
angles (deg): 90.53 118.96 119.30
Sites, in units of the cell vectors:
Tc1 0.046 0.063 0.252
Tc2 0.261 0.702 0.248
Tc3 0.309 0.512 0.753
Tc4 0.691 0.488 0.247
Tc5 0.739 0.298 0.752
Tc6 0.954 0.937 0.748
Ni1 0.500 0.000 0.000
C1 0.500 0.500 0.500

* calculated volume: 110.9 Å³ per cell
* calculated formation energy: 324 kJ/mol of formula units

No. 22
DFT (PBE-GGA) results for an optimized crystal structure of TcNiC3.

a b c (Å): 3.970 3.970 3.970
angles (deg): 90.00 90.00 90.00
Sites, in units of the cell vectors:
Tc1 0.000 0.000 0.000
Ni1 0.500 0.500 0.500
C1 0.000 0.000 0.500
C2 0.000 0.500 0.000
C3 0.500 0.000 0.000

* calculated volume: 62.6 Å³ per cell
* calculated formation energy: 1020 kJ/mol of formula units
* offset from the most stable computed form: 0 meV per atom

No. 23
DFT (PBE-GGA) results for an optimized crystal structure of TcNi3C.

a b c (Å): 4.421 4.421 4.421
angles (deg): 90.00 90.00 90.00
Sites, in units of the cell vectors:
Tc1 0.000 0.000 0.000
Ni1 0.000 0.000 0.500
Ni2 0.000 0.500 0.000
Ni3 0.500 0.000 0.000
C1 0.500 0.500 0.500

* calculated volume: 86.4 Å³ per cell
* calculated formation energy: 1254 kJ/mol of formula units
* offset from the most stable computed form: 2133 meV per atom